(1)
Computed, not measured: an optimized crystal structure of Ba2Tm3As2O2 at the PBE-GGA level of DFT.

Output
For the electronic total energy, the calculation gives -5.87 eV/atom.

Cell: 10.6902 10.6902 10.6902 Å, 155.67 155.67 34.67°
Fractional positions:
Ba  0.0888  0.0888  0.0000
Ba  0.9112  0.9112  0.0000
Tm  0.2500  0.7500  0.5000
Tm  0.5000  0.5000  0.0000
Tm  0.7500  0.2500  0.5000
As  0.3416  0.3416  0.0000
As  0.6584  0.6584  0.0000
O  0.0000  0.5000  0.5000
O  0.5000  0.0000  0.5000

***

(2)
Computed, not measured: an optimized crystal structure of RbAs2PdPt at the PBE-GGA level of DFT.

Output
For the electronic total energy, the calculation gives -4.80 eV/atom.

Cell: 4.5175 4.5175 6.7330 Å, 103.15 103.15 101.02°
Fractional positions:
Rb  0.0000  0.0000  0.0000
As  0.3793  0.3768  0.6588
As  0.6232  0.6207  0.3412
Pd  0.7964  0.2036  0.5000
Pt  0.2032  0.7968  0.5000

***

(3)
Computed, not measured: an optimized crystal structure of Ga2CoSe3S at the PBE-GGA level of DFT.

Output
For the electronic total energy, the calculation gives -4.41 eV/atom.

Cell: 5.4896 5.4987 6.6273 Å, 65.55 65.79 89.36°
Fractional positions:
Ga  0.0000  0.0000  0.0000
Ga  0.2421  0.7540  0.4905
Co  0.4864  0.5123  0.0016
Se  0.3966  0.3748  0.7355
Se  0.6223  0.1418  0.2616
Se  0.8540  0.8990  0.7348
S  0.1208  0.6241  0.2465